{
  "formula": "AlSbH",
  "functional": "PBE-GGA",
  "state": "relaxed",
  "de_polymorph_ev_per_atom": 0.000,
  "magnetic_moment_mub_per_cell": 0.00,
  "sg": "No. 44",
  "cell": [[4.697, 0.000, 0.000], [0.000, 6.953, 0.000], [0.000, 0.000, 8.099]],
  "species": ["Al", "Al", "Al", "Al", "Sb", "Sb", "Sb", "Sb", "H", "H", "H", "H"],
  "frac_coords": [[0.000, 0.249, 0.000], [0.000, 0.751, 0.000], [0.500, 0.251, 0.500], [0.500, 0.749, 0.500], [0.000, 0.298, 0.333], [0.000, 0.702, 0.333], [0.500, 0.202, 0.833], [0.500, 0.798, 0.833], [0.000, 0.000, 0.031], [0.000, 0.500, 0.969], [0.500, 0.000, 0.469], [0.500, 0.500, 0.531]]
}

---

{
  "formula": "Cd2FeAs",
  "functional": "PBE-GGA",
  "state": "relaxed",
  "magnetic_moment_mub_per_cell": 2.59,
  "sg": "No. 123",
  "cell": [[4.130, 0.000, 0.000], [0.000, 4.130, 0.000], [0.000, 0.000, 4.349]],
  "species": ["Cd", "Cd", "Fe", "As"],
  "frac_coords": [[0.000, 0.500, 0.000], [0.500, 0.000, 0.000], [0.000, 0.000, 0.500], [0.500, 0.500, 0.500]]
}

---

{
  "formula": "Tm6CdCo",
  "functional": "PBE-GGA",
  "state": "relaxed",
  "magnetic_moment_mub_per_cell": 0.00,
  "sg": "No. 2",
  "cell": [[6.702, 0.000, 0.000], [-3.351, 5.813, 0.000], [-3.343, -1.936, 6.114]],
  "species": ["Tm", "Tm", "Tm", "Tm", "Tm", "Tm", "Cd", "Co"],
  "frac_coords": [[0.053, 0.087, 0.261], [0.295, 0.708, 0.261], [0.325, 0.534, 0.739], [0.675, 0.466, 0.261], [0.705, 0.292, 0.739], [0.947, 0.913, 0.739], [0.500, 0.000, 0.000], [0.500, 0.500, 0.500]]
}

---

{
  "formula": "TbCeRe",
  "functional": "PBE-GGA",
  "state": "relaxed",
  "de_polymorph_ev_per_atom": 0.147,
  "magnetic_moment_mub_per_cell": 1.66,
  "sg": "No. 166",
  "cell": [[2.016, 1.164, 12.661], [-2.016, 1.164, 12.661], [0.000, -2.328, 12.661]],
  "species": ["Tb", "Tb", "Ce", "Ce", "Re", "Re"],
  "frac_coords": [[0.201, 0.201, 0.201], [0.799, 0.799, 0.799], [0.057, 0.057, 0.057], [0.943, 0.943, 0.943], [0.343, 0.343, 0.343], [0.657, 0.657, 0.657]]
}

---

Quick rundown of E, same order as above: -45.0 -13.6 -34.4 -44.6 eV per cell